! NdSmEr2Bi4 | the Alexandria database | PBE-GGA | optimized geometry; values from VASP
! Theoretical density in g cm⁻³: 9.334
! Total DFT energy (no corrections) in eV for the cell shown: -41.11
! DOS at the Fermi energy in states/eV/atom: 0.1544
&SYSTEM
  ibrav = 0, nat = 8, ntyp = 4
/
ATOMIC_SPECIES
Nd 144.24 Nd.upf
Sm 150.36 Sm.upf
Er 167.26 Er.upf
Bi 208.98 Bi.upf
CELL_PARAMETERS angstrom
7.815 0.000 0.000
0.000 4.521 0.000
-2.612 0.000 7.377
ATOMIC_POSITIONS angstrom
Nd 0.000 0.000 0.000
Sm -1.306 2.261 3.688
Er 2.602 0.000 3.688
Er 3.908 2.261 0.000
Bi 0.060 0.000 5.543
Bi 1.365 2.261 1.879
Bi 3.838 2.261 5.497
Bi 5.143 0.000 1.833